1.
# Be2TlAs

A relaxed structure of Be2TlAs (PBE, the Alexandria database).

abc: 4.7578 4.7578 2.9609
angles: 90.00 90.00 98.55
Last column: nearest neighbours and their distance in Å.
Sites, in units of the cell vectors:
Be: 0.0000 0.0000 0.0000  4 As 2.80, 4 Tl 2.80, 4 Be 2.96-3.10
Be: 0.5000 0.5000 0.0000  4 Tl 2.80, 4 As 2.80, 4 Be 2.96-3.10
Tl: 0.5000 0.0000 0.5000  8 Be 2.80, 2 Tl 2.96, 2 As 3.10
As: 0.0000 0.5000 0.5000  8 Be 2.80, 2 As 2.96, 2 Tl 3.10

Computed properties:
E_tot	-11.44	eV/cell
total moment	0.0	μB/f.u.
V	66.28	Å³ per cell
distance to the lowest polymorph of the same formula	12.779	kcal/mol of atoms
symmetry	Cmmm, No. 65

2.
# AlReTc

A relaxed structure of AlReTc (PBE, the Alexandria database).

abc: 6.9436 6.7051 2.7467
angles: 83.31 73.55 23.13
Last column: nearest neighbours and their distance in Å.
Sites, in units of the cell vectors:
Re: 0.3318 0.3318 0.6682  2 Tc 2.61, 2 Al 2.66, 4 Re 2.75
Tc: 0.6669 0.6669 0.3331  2 Re 2.61, 2 Al 2.61, 4 Tc 2.75
Al: 0.0013 0.0013 0.9987  2 Tc 2.61, 2 Re 2.66, 4 Al 2.75

Computed properties:
E_tot	-26.53	eV/cell
total moment	0.0	μB/f.u.
V	44.53	Å³ per cell
distance to the lowest polymorph of the same formula	8.111	kcal/mol of atoms
symmetry	Fmm2, No. 42

3.
# HPdRuRh2

A relaxed structure of HPdRuRh2 (PBE, the Alexandria database).

abc: 3.9103 3.9103 3.9356
angles: 90.00 90.00 90.00
Last column: nearest neighbours and their distance in Å.
Sites, in units of the cell vectors:
Ru: 0.5000 0.5000 0.5000  4 Pd 2.77, 8 Rh 2.77
Rh: 0.0000 0.5000 0.0000  2 H 1.96
Rh: 0.5000 0.0000 0.0000  2 H 1.96
Pd: 0.0000 0.0000 0.5000  2 H 1.97
H: 0.0000 0.0000 0.0000  4 Rh 1.96, 2 Pd 1.97

Computed properties:
E_tot	-31.63	eV/cell
total moment	0.0	μB/f.u.
V	60.18	Å³ per cell
distance to the lowest polymorph of the same formula	0.863	kcal/mol of atoms
symmetry	P4/mmm, No. 123

4.
# Cs2NiIrSe4

A relaxed structure of Cs2NiIrSe4 (PBE, the Alexandria database).

abc: 5.8264 7.8593 12.7774
angles: 85.15 76.82 68.24
Last column: nearest neighbours and their distance in Å.
Sites, in units of the cell vectors:
Cs: 0.1809 0.0000 0.6382  8 Se 3.73-3.84
Cs: 0.8191 0.0000 0.3618  8 Se 3.73-3.84
Cs: 0.5691 0.5000 0.8618  8 Se 3.73-3.84
Cs: 0.9309 0.5000 0.1382  8 Se 3.73-3.84
Ni: 0.2500 0.5000 0.5000  4 Se 2.34
Ni: 0.5000 0.0000 0.0000  4 Se 2.34
Ir: 0.7500 0.5000 0.5000  4 Se 2.39
Ir: 0.0000 0.0000 0.0000  4 Se 2.39
Se: 0.2926 0.8209 0.1066  1 Ni 2.34, 1 Ir 2.39
Se: 0.2201 0.1791 0.8934  1 Ni 2.34, 1 Ir 2.39
Se: 0.8865 0.8209 0.8934  1 Ni 2.34, 1 Ir 2.39
Se: 0.6008 0.1791 0.1066  1 Ni 2.34, 1 Ir 2.39
Se: 0.4574 0.6791 0.3934  1 Ni 2.34, 1 Ir 2.39
Se: 0.5299 0.3209 0.6066  1 Ni 2.34, 1 Ir 2.39
Se: 0.8635 0.6791 0.6066  1 Ni 2.34, 1 Ir 2.39
Se: 0.1492 0.3209 0.3934  1 Ni 2.34, 1 Ir 2.39

Computed properties:
E_tot	-69.66	eV/cell
total moment	0.0	μB/f.u.
V	529.10	Å³ per cell
symmetry	Fddd, No. 70
energy relative to the elements, uncorrected	-0.568	eV per atom